Crystalline Pm2Zn7Cd at its relaxed geometry, computed with PBE.

a b c (Å): 4.2303 4.2303 11.0138
angles (deg): 90.00 90.00 90.00
Sites, in units of the cell vectors:
Pm1 0.0000 0.5000 0.2362
Pm2 0.5000 0.0000 0.7638
Zn1 0.0000 0.0000 0.0000
Zn2 0.0000 0.5000 0.6495
Zn3 0.0000 0.5000 0.8728
Zn4 0.5000 0.0000 0.1272
Zn5 0.5000 0.0000 0.3505
Zn6 0.5000 0.5000 0.0000
Zn7 0.5000 0.5000 0.5000
Cd1 0.0000 0.0000 0.5000

Calculated formation energy, eV per atom: -0.294
Fermi-level density of states, states/eV per cell: 6.575


Crystalline PdRuAu3 at its relaxed geometry, computed with PBE.

a b c (Å): 4.9748 4.9748 4.9748
angles (deg): 90.00 90.00 90.00
Sites, in units of the cell vectors:
Pd1 0.0000 0.0000 0.0000
Ru1 0.5000 0.5000 0.5000
Au1 0.0000 0.0000 0.5000
Au2 0.0000 0.5000 0.0000
Au3 0.5000 0.0000 0.0000

Distance to the lowest polymorph of the same formula, meV/atom: 129
Calculated formation energy, eV per atom: 1.414
Fermi-level density of states, states/eV per cell: 6.472


Crystalline ZnGa2HgI8 at its relaxed geometry, computed with PBE.

a b c (Å): 8.5740 8.5740 10.5839
angles (deg): 113.53 113.53 54.65
Sites, in units of the cell vectors:
Zn1 0.0000 0.0000 0.0000
Ga1 0.3123 0.3123 0.8492
Ga2 0.6877 0.6877 0.1508
Hg1 0.5000 0.5000 0.5000
I1 0.1357 0.6645 0.7901
I2 0.1398 0.1398 0.6447
I3 0.3275 0.3275 0.0958
I4 0.3355 0.8643 0.2099
I5 0.6645 0.1357 0.7901
I6 0.6725 0.6725 0.9042
I7 0.8602 0.8602 0.3553
I8 0.8643 0.3355 0.2099

Formation energy without anion corrections, eV per atom: -0.369


Number 1: calculated density 7.2 g/cm³, magnetization 0.00 μB per formula unit, VASP energy -22.27 eV for the cell shown. Number 2: calculated density 10.8 g/cm³, magnetization 2.88 μB per formula unit, VASP energy -17.23 eV for the cell shown. Number 3: calculated density 4.2 g/cm³, magnetization 0.00 μB per formula unit, VASP energy -24.46 eV for the cell shown.